# 1
This record from Alexandria describes an optimized crystal structure of ReRu2Cl. The functional is PBE.

abc: 2.7915 3.4913 6.5214
angles: 90.00 90.00 90.00
Last column: nearest neighbours and their distance in Å.
Positions (direct):
1 Re 0.0000 0.0000 0.0000  5 Ru 2.61-2.74, 2 Re 2.79
2 Ru 0.0000 0.0000 0.4206  6 Ru 2.64-2.79, 1 Re 2.74, 4 Cl 2.90
3 Ru 0.5000 0.5000 0.2065  4 Re 2.61, 6 Ru 2.64-2.79
4 Cl 0.5000 0.5000 0.7027  2 Cl 2.79, 4 Ru 2.90, 4 Re 2.96

For the total moment, the calculation gives 0.000 μB per atom. The formation energy from raw total energies comes out at 0.750 eV per atom. The theoretical density comes out at 11.1 g cm⁻³. The offset from the most stable computed form is 449.2 meV per atom. The value obtained for the total energy is -7.462 eV/atom.

=====

# 2
This record from Alexandria describes an optimized crystal structure of PmPr3NdDy. The functional is PBE.

abc: 10.8083 10.8083 6.8918
angles: 90.75 90.75 31.67
Last column: nearest neighbours and their distance in Å.
Positions (direct):
1 Pm 0.1481 0.1481 0.0263  1 Dy 3.13, 2 Pr 3.30-3.44
2 Pm 0.8519 0.8519 0.9737  1 Dy 3.13, 2 Pr 3.30-3.44
3 Pr 0.0171 0.0171 0.7518  1 Dy 3.25, 1 Pm 3.30, 2 Nd 3.33, 2 Pr 3.50-3.53
4 Pr 0.2808 0.2808 0.7351  3 Dy 3.33-3.66, 1 Nd 3.36, 3 Pm 3.44-3.68, 2 Pr 3.59-3.70
5 Pr 0.3381 0.3381 0.2454  2 Pm 3.51, 2 Dy 3.52, 4 Pr 3.59-3.85
6 Pr 0.6619 0.6619 0.7546  2 Pm 3.51, 2 Dy 3.52, 4 Pr 3.59-3.85
7 Pr 0.7192 0.7192 0.2649  3 Dy 3.33-3.66, 1 Nd 3.36, 3 Pm 3.44-3.68, 2 Pr 3.59-3.70
8 Pr 0.9829 0.9829 0.2482  1 Dy 3.25, 1 Pm 3.30, 2 Nd 3.33, 2 Pr 3.50-3.53
9 Nd 0.4422 0.4422 0.7423  3 Pr 3.33-3.36
10 Nd 0.5578 0.5578 0.2577  3 Pr 3.33-3.36
11 Dy 0.1437 0.1437 0.4795  1 Pm 3.13, 2 Pr 3.25-3.33
12 Dy 0.8563 0.8563 0.5205  1 Pm 3.13, 2 Pr 3.25-3.33

For the total moment, the calculation gives 0.000 μB per atom. The theoretical density comes out at 6.9 g cm⁻³. For the formation energy, the calculation gives 156 meV per atom. The value obtained for the total energy is -4.588 eV/atom.

=====

# 3
This record from Alexandria describes an optimized crystal structure of Al3As. The functional is PBE.

abc: 5.1020 5.1020 2.8580
angles: 90.00 90.00 110.40
Last column: nearest neighbours and their distance in Å.
Positions (direct):
1 Al 0.0000 0.0000 0.0000  10 Al 2.86-2.92, 2 As 2.91
2 Al 0.0000 0.5000 0.5000  8 Al 2.86-2.92, 4 As 2.92
3 Al 0.5000 0.0000 0.5000  8 Al 2.86-2.92, 4 As 2.92
4 As 0.5000 0.5000 0.0000  2 As 2.86, 10 Al 2.91-2.92

For the total moment, the calculation gives 0.000 μB per atom. The theoretical density comes out at 3.7 g cm⁻³. For the formation energy, the calculation gives 94 meV per atom. The offset from the most stable computed form is 99.2 meV per atom. The value obtained for the total energy is -3.875 eV/atom.

=====

# 4
This record from Alexandria describes an optimized crystal structure of Ce2MgGa3Pt4. The functional is PBE.

abc: 4.1268 4.1268 11.4091
angles: 90.00 90.00 90.00
Last column: nearest neighbours and their distance in Å.
Positions (direct):
1 Ce 0.0000 0.5000 0.2458  8 Pt 3.15-3.48, 4 Ga 3.20
2 Ce 0.5000 0.0000 0.7542  8 Pt 3.15-3.48, 4 Ga 3.20
3 Mg 0.0000 0.0000 0.5000  4 Pt 2.68, 4 Ga 2.92
4 Ga 0.0000 0.5000 0.8700  5 Pt 2.51-2.54
5 Ga 0.5000 0.0000 0.1300  5 Pt 2.51-2.54
6 Ga 0.5000 0.5000 0.5000  4 Pt 2.68, 4 Mg 2.92
7 Pt 0.0000 0.0000 0.0000  4 Ga 2.54
8 Pt 0.0000 0.5000 0.6499  3 Ga 2.51-2.68, 2 Mg 2.68
9 Pt 0.5000 0.0000 0.3501  3 Ga 2.51-2.68, 2 Mg 2.68
10 Pt 0.5000 0.5000 0.0000  4 Ga 2.54

For the total moment, the calculation gives 0.154 μB per atom. The theoretical density comes out at 11.1 g cm⁻³. For the formation energy, the calculation gives -911 meV per atom. The value obtained for the total energy is -5.581 eV/atom.

=====

# 5
This record from Alexandria describes an optimized crystal structure of Mg2Ni3Ir. The functional is PBE.

abc: 4.8428 4.8428 4.9986
angles: 118.89 118.89 59.90
Last column: nearest neighbours and their distance in Å.
Positions (direct):
1 Mg 0.1243 0.1243 0.3725  3 Ir 2.84-2.85, 9 Ni 2.87-2.96, 4 Mg 2.99-3.09
2 Mg 0.8757 0.8757 0.6275  3 Ir 2.84-2.85, 9 Ni 2.87-2.96, 4 Mg 2.99-3.09
3 Ni 0.0000 0.5000 0.0000  4 Ni 2.42, 2 Ir 2.50
4 Ni 0.5000 0.0000 0.0000  4 Ni 2.42, 2 Ir 2.50
5 Ni 0.5000 0.5000 0.0000  4 Ni 2.42, 2 Ir 2.50
6 Ir 0.5000 0.5000 0.5000  6 Ni 2.50

For the total moment, the calculation gives 0.000 μB per atom. The theoretical density comes out at 8.2 g cm⁻³. For the formation energy, the calculation gives -255 meV per atom. The value obtained for the total energy is -5.154 eV/atom.

=====

# 6
This record from Alexandria describes an optimized crystal structure of SbPO2. The functional is PBE.

abc: 6.8931 6.8931 6.8931
angles: 26.71 26.71 26.71
Last column: nearest neighbours and their distance in Å.
Positions (direct):
1 Sb 0.0000 0.0000 0.0000  2 O 2.26
2 P 0.5000 0.5000 0.5000  6 O 2.12
3 O 0.1136 0.1136 0.1136  3 P 2.12, 1 Sb 2.26
4 O 0.8864 0.8864 0.8864  3 P 2.12, 1 Sb 2.26

For the total moment, the calculation gives 0.000 μB per atom. The formation energy from raw total energies comes out at -0.410 eV per atom. The theoretical density comes out at 5.3 g cm⁻³. The offset from the most stable computed form is 96.2 meV per atom. The value obtained for the total energy is -5.272 eV/atom.

=====

# 7
This record from Alexandria describes an optimized crystal structure of CoCu2Pt. The functional is PBE.

abc: 4.5295 4.5295 2.6786
angles: 90.00 90.00 109.81
Last column: nearest neighbours and their distance in Å.
Positions (direct):
1 Co 0.0000 0.0000 0.0000  2 Pt 2.60, 8 Cu 2.63, 2 Co 2.68
2 Cu 0.0000 0.5000 0.5000  4 Cu 2.60-2.68, 4 Co 2.63, 4 Pt 2.63
3 Cu 0.5000 0.0000 0.5000  4 Cu 2.60-2.68, 4 Co 2.63, 4 Pt 2.63
4 Pt 0.5000 0.5000 0.0000  2 Co 2.60, 8 Cu 2.63, 2 Pt 2.68

For the total moment, the calculation gives 0.496 μB per atom. The theoretical density comes out at 12.2 g cm⁻³. For the formation energy, the calculation gives 53 meV per atom. The value obtained for the total energy is -5.282 eV/atom.

=====

# 8
This record from Alexandria describes an optimized crystal structure of RbRe2N. The functional is PBE.

abc: 6.3430 6.3430 6.3430
angles: 120.28 120.28 89.52
Last column: nearest neighbours and their distance in Å.
Positions (direct):
1 Rb 0.0000 0.0000 0.0000  12 Re 3.65-3.77, 4 Rb 3.88, 4 N 3.88
2 Rb 0.7500 0.2500 0.5000  12 Re 3.65-3.77, 4 Rb 3.88, 4 N 3.88
3 Re 0.3637 0.1250 0.7387  2 N 1.94
4 Re 0.3750 0.6363 0.7613  2 N 1.94
5 Re 0.3863 0.6250 0.2613  2 N 1.94
6 Re 0.8750 0.6137 0.2387  2 N 1.94
7 N 0.2500 0.7500 0.5000  4 Re 1.94
8 N 0.5000 0.5000 0.0000  4 Re 1.94

For the total moment, the calculation gives 0.609 μB per atom. The formation energy from raw total energies comes out at 1.206 eV per atom. The theoretical density comes out at 8.7 g cm⁻³. The value obtained for the total energy is -7.342 eV/atom.

=====

# 9
This record from Alexandria describes an optimized crystal structure of ZnInW2. The functional is PBE.

abc: 2.7782 2.7782 9.0369
angles: 90.00 90.00 90.00
Last column: nearest neighbours and their distance in Å.
Positions (direct):
1 Zn 0.0000 0.0000 0.0000  4 Zn 2.78, 4 W 2.80
2 In 0.5000 0.5000 0.2740  4 In 2.78, 4 W 3.06
3 W 0.0000 0.0000 0.5332  8 W 2.78-2.96, 4 In 3.06
4 W 0.5000 0.5000 0.7788  8 W 2.78-2.96, 4 Zn 2.80

For the total moment, the calculation gives 0.000 μB per atom. The theoretical density comes out at 13.0 g cm⁻³. For the formation energy, the calculation gives 510 meV per atom. The offset from the most stable computed form is 169.1 meV per atom. The value obtained for the total energy is -6.969 eV/atom.

=====

# 10
This record from Alexandria describes an optimized crystal structure of Ba2SI. The functional is PBE.

abc: 5.7486 5.7486 5.7486
angles: 60.00 60.00 60.00
Last column: nearest neighbours and their distance in Å.
Positions (direct):
1 Ba 0.2500 0.2500 0.2500  4 I 3.52, 4 S 3.52
2 Ba 0.7500 0.7500 0.7500  4 S 3.52, 4 I 3.52
3 S 0.0000 0.0000 0.0000  8 Ba 3.52
4 I 0.5000 0.5000 0.5000  8 Ba 3.52

For the total moment, the calculation gives 0.022 μB per atom. The formation energy from raw total energies comes out at -1.445 eV per atom. The theoretical density comes out at 5.4 g cm⁻³. The offset from the most stable computed form is 281.5 meV per atom. The value obtained for the total energy is -3.826 eV/atom.